1.
Below is crystalline Ba3PrAg4 at its relaxed geometry, with properties calculated at the GGA-PBE level.

Results
* calculated formation energy: -174 kJ/mol of formula units
* total magnetization: 0.00 μB/f.u.
* DOS at the Fermi energy: 0.902 states/eV per atom

a = 4.012 Å, b = 4.012 Å, c = 16.292 Å
α = 90.00°, β = 90.00°, γ = 90.00°
Space group P4/mmm (No. 123)
Asymmetric unit:
Ba: 0.000 0.000 0.000
Ba: 0.000 0.000 0.258
Pr: 0.000 0.000 0.500
Ag: 0.500 0.500 0.128
Ag: 0.500 0.500 0.403

=====

2.
Below is crystalline W5Se at its relaxed geometry, with properties calculated at the GGA-PBE level.

Results
* distance to the lowest polymorph of the same formula: 0.0000 eV per atom
* total magnetization: 0.00 μB/f.u.
* DOS at the Fermi energy: 0.565 states/eV per atom

a = 3.160 Å, b = 3.160 Å, c = 9.734 Å
α = 90.00°, β = 90.00°, γ = 90.00°
Space group P4/mmm (No. 123)
Asymmetric unit:
W: 0.000 0.000 0.000
W: 0.000 0.000 0.327
W: 0.500 0.500 0.162
Se: 0.500 0.500 0.500

=====

3.
Below is crystalline BaV3N at its relaxed geometry, with properties calculated at the GGA-PBE level.

Results
* distance to the lowest polymorph of the same formula: 2.9428 eV per atom
* total magnetization: 0.00 μB/f.u.
* DOS at the Fermi energy: 0.875 states/eV per atom

a = 4.743 Å, b = 4.743 Å, c = 4.743 Å
α = 90.00°, β = 90.00°, γ = 90.00°
Space group Pm-3m (No. 221)
Asymmetric unit:
Ba: 0.000 0.000 0.000
V: 0.000 0.000 0.500
N: 0.500 0.500 0.500

=====

4.
Below is crystalline Ca2WSe at its relaxed geometry, with properties calculated at the GGA-PBE level.

Results
* calculated total energy: -4.833 eV per atom
* total magnetization: 0.00 μB/f.u.
* DOS at the Fermi energy: 1.080 states/eV per atom

a = 6.622 Å, b = 8.727 Å, c = 3.126 Å
α = 90.00°, β = 90.00°, γ = 90.00°
Space group Cmmm (No. 65)
Asymmetric unit:
Ca: 0.250 0.250 0.000
W: 0.000 0.000 0.500
Se: 0.000 0.500 0.500